No. 1
DFT (PBE) results for crystalline KNdCuBr6 at its relaxed geometry.

Geometry as extended XYZ:
```
9
Lattice="-2.1512 -3.6466 -6.4314 4.2163 -0.9096 -5.5057 2.1124 -6.8423 2.1385" Properties=species:S:1:pos:R:3 pbc="T T T"
K 6.1005 -7.7884 -3.2765
Nd 2.2280 -6.4920 -6.7973
Cu 1.7645 -4.9236 -2.9109
Br 2.0171 -1.9110 -1.5587
Br 0.8944 -6.2477 -1.0290
Br 1.8372 -7.9258 -4.4192
Br 4.0701 -5.2355 -2.0921
Br 2.5767 -4.0952 -5.0900
Br -0.5143 -4.1691 -3.4501
```

Computed properties:
Space group   No. 1
ΔE_f (raw)   -11.600 eV per formula unit
Total magnetization   0.114 μB per atom
Calculated density   3614 kg/m³

No. 2
DFT (PBE) results for crystalline Tm5PbAu4 at its relaxed geometry.

Geometry as extended XYZ:
```
10
Lattice="3.5162 0.0000 0.0000 0.0000 3.5162 0.0000 0.0000 0.0000 18.9857" Properties=species:S:1:pos:R:3 pbc="T T T"
Tm 1.7581 1.7581 2.2903
Tm 1.7581 1.7581 5.8879
Tm 1.7581 1.7581 9.4928
Tm 1.7581 1.7581 13.0978
Tm 1.7581 1.7581 16.6953
Pb 0.0000 0.0000 0.0000
Au 0.0000 0.0000 4.0528
Au 0.0000 0.0000 7.6755
Au 0.0000 0.0000 11.3101
Au 0.0000 0.0000 14.9329
```

Computed properties:
Space group   No. 123
Total magnetization   0.000 μB per atom
Energy of formation   -788 meV/atom
Calculated density   13015 kg/m³

No. 3
DFT (PBE) results for crystalline CsRhW3 at its relaxed geometry.

Geometry as extended XYZ:
```
5
Lattice="4.8408 0.0000 0.0000 0.0000 4.8408 0.0000 0.0000 0.0000 4.8408" Properties=species:S:1:pos:R:3 pbc="T T T"
Cs 0.0000 0.0000 0.0000
Rh 2.4204 2.4204 2.4204
W 0.0000 2.4204 0.0000
W 0.0000 0.0000 2.4204
W 2.4204 0.0000 0.0000
```

Computed properties:
Space group   No. 221
Total magnetization   0.000 μB per atom
Energy of formation   4019 meV/atom
Calculated density   11526 kg/m³
Energy relative to the lowest polymorph listed for this composition   1.660 eV/atom

No. 4
DFT (PBE) results for crystalline Mn2InH2 at its relaxed geometry.

Geometry as extended XYZ:
```
5
Lattice="2.9571 0.0000 0.0000 0.0000 2.9571 0.0000 1.4786 1.4786 6.1072" Properties=species:S:1:pos:R:3 pbc="T T T"
H 2.9571 1.4786 3.0536
H 1.4786 2.9571 3.0536
Mn 1.4786 1.4786 1.9958
Mn 2.9571 2.9571 4.1114
In 0.0000 0.0000 0.0000
```

Computed properties:
Space group   No. 139
Total magnetization   1.208 μB per atom
Calculated density   7049 kg/m³
Energy relative to the lowest polymorph listed for this composition   0.000 eV/atom

No. 5
DFT (PBE) results for crystalline V2Ru at its relaxed geometry.

Geometry as extended XYZ:
```
3
Lattice="4.1593 0.0000 0.0000 -2.0796 3.6020 0.0000 0.0000 0.0000 2.7081" Properties=species:S:1:pos:R:3 pbc="T T T"
Ru 0.0000 0.0000 0.0000
V 0.0000 2.4014 1.7961
V 2.0796 1.2007 0.9119
```

Computed properties:
Space group   No. 164
Total magnetization   0.000 μB per atom
Energy of formation   -236 meV/atom
Calculated density   8307 kg/m³

No. 6
DFT (PBE) results for crystalline TeOsRhN2 at its relaxed geometry.

Geometry as extended XYZ:
```
5
Lattice="-3.2308 -1.6386 1.0285 1.4971 -3.3855 -0.6910 2.1049 -0.3161 6.1085" Properties=species:S:1:pos:R:3 pbc="T T T"
Rh 0.0000 0.0000 0.0000
Te 1.0524 -0.1580 3.0543
Os 0.1856 -2.6701 3.2230
N 0.7485 -1.6928 -0.3455
N -1.6154 -0.8193 0.5142
```

Computed properties:
Space group   No. 123
ΔE_f (raw)   8.242 eV per formula unit
Total magnetization   0.385 μB per atom
Calculated density   8124 kg/m³
Energy relative to the lowest polymorph listed for this composition   0.897 eV/atom

No. 7
DFT (PBE) results for crystalline Hg3Au at its relaxed geometry.

Geometry as extended XYZ:
```
4
Lattice="-1.3284 7.8913 4.7598 -0.3084 -2.2345 3.6185 4.1928 -10.4047 -6.0678" Properties=species:S:1:pos:R:3 pbc="T T T"
Au 0.0000 0.0000 0.0000
Hg -0.2899 0.6231 2.8724
Hg -0.6642 3.9456 2.3799
Hg 2.8460 -5.3710 -0.5619
```

Computed properties:
Space group   No. 10
Total magnetization   0.000 μB per atom
Energy of formation   71 meV/atom
Calculated density   13702 kg/m³
Energy relative to the lowest polymorph listed for this composition   0.050 eV/atom

Among the records above, which one has the highest calculated density? Hg3Au

Among the records above, which one has the highest calculated density? Hg3Au

calculated density of number 4 (Mn2InH2)? 7049 kg/m³